(1)
Computed, not measured: an optimized crystal structure of Sr2TePIr at the PBE level of DFT.

a b c (Å): 5.9450 5.9450 4.3190
angles (deg): 90.00 90.00 90.00
Space group P4/mmm (No. 123)
One atom of each set of equivalent atoms:
Sr 0.0000 0.5000 0.0000 x2
Te 0.0000 0.0000 0.5000 x1
P 0.5000 0.5000 0.0000 x1
Ir 0.5000 0.5000 0.5000 x1

- E above lowest polymorph (meV per atom) = 80.7
- raw formation energy (eV/atom) = -0.85
- VASP energy (eV per atom) = -5.01

=====

(2)
Computed, not measured: an optimized crystal structure of SrTl2PIr at the PBE level of DFT.

a b c (Å): 6.2580 6.2580 5.0461
angles (deg): 90.00 90.00 90.00
Space group P4/mmm (No. 123)
One atom of each set of equivalent atoms:
Sr 0.0000 0.0000 0.0000 x1
Tl 0.0000 0.5000 0.0000 x2
P 0.5000 0.5000 0.5000 x1
Ir 0.0000 0.0000 0.5000 x1

- formation enthalpy at 0 K (eV/atom) = 1.5081
- VASP energy (eV per atom) = -2.63

=====

(3)
Computed, not measured: an optimized crystal structure of Sr2PIrW at the PBE level of DFT.

a b c (Å): 5.9386 5.9386 4.3891
angles (deg): 90.00 90.00 90.00
Space group P4/mmm (No. 123)
One atom of each set of equivalent atoms:
Sr 0.0000 0.5000 0.0000 x2
P 0.0000 0.0000 0.5000 x1
Ir 0.0000 0.0000 0.0000 x1
W 0.5000 0.5000 0.5000 x1

- formation enthalpy at 0 K (eV/atom) = 0.6800
- VASP energy (eV per atom) = -5.44

=====

(4)
Computed, not measured: an optimized crystal structure of SrPIr2W at the PBE level of DFT.

a b c (Å): 4.5685 4.5685 4.5987
angles (deg): 90.00 90.00 90.00
Space group P4/mmm (No. 123)
One atom of each set of equivalent atoms:
Sr 0.0000 0.0000 0.0000 x1
P 0.5000 0.5000 0.5000 x1
Ir 0.0000 0.5000 0.5000 x2
W 0.5000 0.5000 0.0000 x1

- formation enthalpy at 0 K (eV/atom) = 0.3284
- VASP energy (eV per atom) = -7.22

=====

(5)
Computed, not measured: an optimized crystal structure of SrZn2PIr2 at the PBE level of DFT.

a b c (Å): 4.4957 4.4957 5.8276
angles (deg): 90.00 90.00 90.00
Space group P4/mmm (No. 123)
One atom of each set of equivalent atoms:
Sr 0.0000 0.0000 0.0000 x1
Zn 0.5000 0.5000 0.2267 x2
P 0.0000 0.0000 0.5000 x1
Ir 0.0000 0.5000 0.5000 x2

- formation enthalpy at 0 K (eV/atom) = -0.2932
- VASP energy (eV per atom) = -4.85

=====

(6)
Computed, not measured: an optimized crystal structure of TaPIr2 at the PBE level of DFT.

a b c (Å): 3.8687 3.8687 8.0046
angles (deg): 90.00 90.00 90.00
Space group I-4m2 (No. 119)
One atom of each set of equivalent atoms:
Ta 0.0000 0.0000 0.0000 x2
P 0.0000 0.5000 0.2500 x2
Ir 0.0000 0.0000 0.5000 x2
Ir 0.0000 0.5000 0.7500 x2

- formation enthalpy at 0 K (eV/atom) = -0.1460
- VASP energy (eV per atom) = -8.89

=====

(7)
Computed, not measured: an optimized crystal structure of TaPIr4 at the PBE level of DFT.

a b c (Å): 7.3057 7.3057 7.3057
angles (deg): 90.00 90.00 90.00
Space group F-43m (No. 216)
One atom of each set of equivalent atoms:
Ta 0.0000 0.0000 0.0000 x4
P 0.2500 0.2500 0.2500 x4
Ir 0.1251 0.1251 0.6251 x16

- formation enthalpy at 0 K (eV/atom) = 0.3550
- VASP energy (eV per atom) = -8.43

=====

(8)
Computed, not measured: an optimized crystal structure of TaP2Ir at the PBE level of DFT.

a b c (Å): 5.5308 5.5308 10.4111
angles (deg): 90.00 90.00 90.00
Space group I-42d (No. 122)
One atom of each set of equivalent atoms:
Ta 0.0000 0.0000 0.0000 x4
P 0.2269 0.2500 0.6250 x8
Ir 0.0000 0.0000 0.5000 x4

- formation enthalpy at 0 K (eV/atom) = -0.1458
- E above lowest polymorph (meV per atom) = 348.8
- VASP energy (eV per atom) = -8.03

=====

(9)
Computed, not measured: an optimized crystal structure of TaPIr2 at the PBE level of DFT.

a b c (Å): 2.9003 2.9003 6.9882
angles (deg): 90.00 90.00 90.00
Space group P4mm (No. 99)
One atom of each set of equivalent atoms:
Ta 0.0000 0.0000 0.0000 x1
P 0.5000 0.5000 0.7531 x1
Ir 0.0000 0.0000 0.5561 x1
Ir 0.5000 0.5000 0.2588 x1

- formation enthalpy at 0 K (eV/atom) = -0.3132
- VASP energy (eV per atom) = -9.06

=====

(10)
Computed, not measured: an optimized crystal structure of TaPIr2 at the PBE level of DFT.

a b c (Å): 2.8821 4.1265 5.2221
angles (deg): 90.00 105.91 90.00
Space group P2/m (No. 10)
One atom of each set of equivalent atoms:
Ta 0.0000 0.0000 0.0000 x1
P 0.5000 0.0000 0.5000 x1
Ir 0.3829 0.5000 0.7364 x2

- formation enthalpy at 0 K (eV/atom) = -0.3831
- VASP energy (eV per atom) = -9.13

=====

(11)
Computed, not measured: an optimized crystal structure of TaPIr2 at the PBE level of DFT.

a b c (Å): 4.6555 4.6555 2.8705
angles (deg): 90.00 90.00 90.00
Space group P4/mmm (No. 123)
One atom of each set of equivalent atoms:
Ta 0.0000 0.0000 0.0000 x1
P 0.5000 0.5000 0.0000 x1
Ir 0.0000 0.5000 0.5000 x2

- formation enthalpy at 0 K (eV/atom) = 0.0557
- VASP energy (eV per atom) = -8.69

=====

(12)
Computed, not measured: an optimized crystal structure of TaP2Ir at the PBE level of DFT.

a b c (Å): 6.2541 6.2541 6.2541
angles (deg): 90.00 90.00 90.00
Space group F-43m (No. 216)
One atom of each set of equivalent atoms:
Ta 0.0000 0.0000 0.0000 x4
P 0.0000 0.0000 0.5000 x4
P 0.2500 0.2500 0.7500 x4
Ir 0.2500 0.2500 0.2500 x4

- formation enthalpy at 0 K (eV/atom) = 0.2143
- E above lowest polymorph (meV per atom) = 709.0
- VASP energy (eV per atom) = -7.67

=====

(13)
Computed, not measured: an optimized crystal structure of TaPIr2 at the PBE level of DFT.

a b c (Å): 3.8885 3.8885 3.9602
angles (deg): 90.00 90.00 90.00
Space group P4/mmm (No. 123)
One atom of each set of equivalent atoms:
Ta 0.0000 0.0000 0.0000 x1
P 0.5000 0.5000 0.0000 x1
Ir 0.0000 0.5000 0.5000 x2

- formation enthalpy at 0 K (eV/atom) = -0.1198
- VASP energy (eV per atom) = -8.87

=====

(14)
Computed, not measured: an optimized crystal structure of TaPIr2 at the PBE level of DFT.

a b c (Å): 2.8597 4.5529 4.5945
angles (deg): 90.00 90.00 90.00
Space group Pmmm (No. 47)
One atom of each set of equivalent atoms:
Ta 0.0000 0.0000 0.0000 x1
P 0.5000 0.0000 0.5000 x1
Ir 0.0000 0.5000 0.5000 x1
Ir 0.5000 0.5000 0.0000 x1

- formation enthalpy at 0 K (eV/atom) = -0.2018
- VASP energy (eV per atom) = -8.95

=====

(15)
Computed, not measured: an optimized crystal structure of Ta2PIr2 at the PBE level of DFT.

a b c (Å): 4.3465 4.3465 10.4511
angles (deg): 90.00 90.00 90.00
Space group I4/mmm (No. 139)
One atom of each set of equivalent atoms:
Ta 0.0000 0.5000 0.2500 x4
P 0.0000 0.0000 0.0000 x2
Ir 0.0000 0.0000 0.3782 x4

- formation enthalpy at 0 K (eV/atom) = 0.0974
- E above lowest polymorph (meV per atom) = 303.1
- VASP energy (eV per atom) = -9.27

=====

(16)
Computed, not measured: an optimized crystal structure of TaPIr3 at the PBE level of DFT.

a b c (Å): 4.7763 4.7763 4.7763
angles (deg): 90.00 90.00 90.00
Space group Pm-3m (No. 221)
One atom of each set of equivalent atoms:
Ta 0.0000 0.0000 0.0000 x1
P 0.5000 0.5000 0.5000 x1
Ir 0.0000 0.0000 0.5000 x3

- formation enthalpy at 0 K (eV/atom) = 1.8014
- E above lowest polymorph (meV per atom) = 1212.9
- VASP energy (eV per atom) = -6.97

=====

(17)
Computed, not measured: an optimized crystal structure of TaP2Ir at the PBE level of DFT.

a b c (Å): 4.2914 4.2914 3.0548
angles (deg): 90.00 90.00 90.00
Space group P4/mmm (No. 123)
One atom of each set of equivalent atoms:
Ta 0.0000 0.0000 0.0000 x1
P 0.0000 0.5000 0.5000 x2
Ir 0.5000 0.5000 0.0000 x1

- formation enthalpy at 0 K (eV/atom) = -0.4045
- E above lowest polymorph (meV per atom) = 90.1
- VASP energy (eV per atom) = -8.29

=====

(18)
Computed, not measured: an optimized crystal structure of TaP2Ir at the PBE level of DFT.

a b c (Å): 2.8407 2.8407 8.2456
angles (deg): 90.00 90.00 90.00
Space group P4mm (No. 99)
One atom of each set of equivalent atoms:
Ta 0.0000 0.0000 0.0000 x1
P 0.0000 0.0000 0.4298 x1
P 0.5000 0.5000 0.7782 x1
Ir 0.5000 0.5000 0.2516 x1

- formation enthalpy at 0 K (eV/atom) = -0.1509
- E above lowest polymorph (meV per atom) = 343.7
- VASP energy (eV per atom) = -8.03

=====

(19)
Computed, not measured: an optimized crystal structure of TaPIr2 at the PBE level of DFT.

a b c (Å): 2.9669 4.4806 8.9103
angles (deg): 90.00 90.00 90.00
Space group Imm2 (No. 44)
One atom of each set of equivalent atoms:
Ta 0.0000 0.0000 0.0000 x2
P 0.0000 0.5000 0.7318 x2
Ir 0.0000 0.0000 0.4321 x2
Ir 0.0000 0.5000 0.2191 x2

- formation enthalpy at 0 K (eV/atom) = -0.4310
- VASP energy (eV per atom) = -9.18

=====

(20)
Computed, not measured: an optimized crystal structure of Ta2PIr2 at the PBE level of DFT.

a b c (Å): 3.5518 3.5518 13.9733
angles (deg): 90.00 90.00 90.00
Space group I4/mmm (No. 139)
One atom of each set of equivalent atoms:
Ta 0.0000 0.0000 0.1037 x4
P 0.0000 0.0000 0.5000 x2
Ir 0.0000 0.5000 0.2500 x4

- formation enthalpy at 0 K (eV/atom) = 0.0237
- E above lowest polymorph (meV per atom) = 229.4
- VASP energy (eV per atom) = -9.34

=====

(21)
Computed, not measured: an optimized crystal structure of TaPIr2 at the PBE level of DFT.

a b c (Å): 3.8527 3.8527 8.0827
angles (deg): 90.00 90.00 90.00
Space group I4/mmm (No. 139)
One atom of each set of equivalent atoms:
Ta 0.0000 0.0000 0.0000 x2
P 0.0000 0.0000 0.5000 x2
Ir 0.0000 0.5000 0.2500 x4

- formation enthalpy at 0 K (eV/atom) = -0.2471
- VASP energy (eV per atom) = -8.99

=====

(22)
Computed, not measured: an optimized crystal structure of TaP2Ir at the PBE level of DFT.

a b c (Å): 6.0907 6.0907 6.0907
angles (deg): 90.00 90.00 90.00
Space group Fm-3m (No. 225)
One atom of each set of equivalent atoms:
Ta 0.0000 0.0000 0.0000 x4
P 0.2500 0.2500 0.2500 x8
Ir 0.0000 0.0000 0.5000 x4

- formation enthalpy at 0 K (eV/atom) = -0.2621
- E above lowest polymorph (meV per atom) = 232.5
- VASP energy (eV per atom) = -8.15

=====

(23)
Computed, not measured: an optimized crystal structure of TaPIr2 at the PBE level of DFT.

a b c (Å): 3.8873 2.8943 10.6328
angles (deg): 90.00 90.00 90.00
Space group Amm2 (No. 38)
One atom of each set of equivalent atoms:
Ta 0.0000 0.0000 0.0000 x2
P 0.5000 0.0000 0.3918 x2
Ir 0.0000 0.0000 0.2697 x2
Ir 0.5000 0.0000 0.6230 x2

- formation enthalpy at 0 K (eV/atom) = -0.4315
- VASP energy (eV per atom) = -9.18

=====

(24)
Computed, not measured: an optimized crystal structure of TaPIr2 at the PBE level of DFT.

a b c (Å): 2.8834 2.8834 7.0934
angles (deg): 90.00 90.00 90.00
Space group P4/mmm (No. 123)
One atom of each set of equivalent atoms:
Ta 0.0000 0.0000 0.0000 x1
P 0.0000 0.0000 0.5000 x1
Ir 0.5000 0.5000 0.2814 x2

- formation enthalpy at 0 K (eV/atom) = -0.3448
- VASP energy (eV per atom) = -9.09

=====

(25)
Computed, not measured: an optimized crystal structure of TaPIr2 at the PBE level of DFT.

a b c (Å): 9.6299 2.9793 4.4199
angles (deg): 90.00 90.84 90.00
Space group Cm (No. 8)
One atom of each set of equivalent atoms:
Ta 0.0000 0.0000 0.0000 x2
P 0.2944 0.5000 0.6502 x2
Ir 0.0659 0.5000 0.5013 x2
Ir 0.2886 0.0000 0.2354 x2

- formation enthalpy at 0 K (eV/atom) = -0.2953
- VASP energy (eV per atom) = -9.04

=====

(26)
Computed, not measured: an optimized crystal structure of TaPIr3 at the PBE level of DFT.

a b c (Å): 4.4024 4.4024 4.4024
angles (deg): 90.00 90.00 90.00
Space group Pm-3m (No. 221)
One atom of each set of equivalent atoms:
Ta 0.0000 0.0000 0.0000 x1
P 0.5000 0.5000 0.5000 x1
Ir 0.0000 0.5000 0.5000 x3

- formation enthalpy at 0 K (eV/atom) = 0.5886
- E above lowest polymorph (meV per atom) = 0.0
- VASP energy (eV per atom) = -8.18

=====

(27)
Computed, not measured: an optimized crystal structure of TaPIr2 at the PBE level of DFT.

a b c (Å): 2.8568 2.8568 25.3102
angles (deg): 90.00 90.00 120.00
Space group R3m (No. 160, hexagonal axes)
One atom of each set of equivalent atoms:
Ta 0.0000 0.0000 0.0000 x3
P 0.0000 0.0000 0.2494 x3
Ir 0.0000 0.0000 0.5129 x3
Ir 0.0000 0.0000 0.7529 x3

- formation enthalpy at 0 K (eV/atom) = -0.1719
- VASP energy (eV per atom) = -8.92

=====

(28)
Computed, not measured: an optimized crystal structure of TaPIr2 at the PBE level of DFT.

a b c (Å): 6.2322 6.2322 6.2322
angles (deg): 90.00 90.00 90.00
Space group F-43m (No. 216)
One atom of each set of equivalent atoms:
Ta 0.0000 0.0000 0.0000 x4
P 0.2500 0.2500 0.7500 x4
Ir 0.0000 0.0000 0.5000 x4
Ir 0.2500 0.2500 0.2500 x4

- formation enthalpy at 0 K (eV/atom) = -0.0181
- VASP energy (eV per atom) = -8.76

=====

(29)
Computed, not measured: an optimized crystal structure of TaP2Ir at the PBE level of DFT.

a b c (Å): 3.0900 3.5545 5.5020
angles (deg): 90.00 90.00 90.00
Space group Pmmm (No. 47)
One atom of each set of equivalent atoms:
Ta 0.0000 0.0000 0.0000 x1
P 0.5000 0.5000 0.2231 x2
Ir 0.5000 0.0000 0.5000 x1

- formation enthalpy at 0 K (eV/atom) = -0.3236
- E above lowest polymorph (meV per atom) = 171.0
- VASP energy (eV per atom) = -8.21

=====

(30)
Computed, not measured: an optimized crystal structure of TaP2Ir at the PBE level of DFT.

a b c (Å): 7.0431 3.2649 5.4792
angles (deg): 90.00 104.40 90.00
Space group C2/m (No. 12)
One atom of each set of equivalent atoms:
Ta 0.0000 0.0000 0.0000 x2
P 0.2463 0.0000 0.7239 x4
Ir 0.0000 0.5000 0.5000 x2

- formation enthalpy at 0 K (eV/atom) = -0.1781
- E above lowest polymorph (meV per atom) = 316.5
- VASP energy (eV per atom) = -8.06

=====

no.,volume (A^3/atom),spin magnetization (μB per formula unit)
1,30.53,0.00
2,39.52,1.82
3,30.96,4.77
4,19.20,1.38
5,19.63,0.52
6,14.98,0.00
7,16.25,0.00
8,19.90,0.00
9,14.70,0.00
10,14.93,0.00
11,15.55,0.00
12,15.29,0.00
13,14.97,0.00
14,14.95,0.00
15,19.74,0.00
16,21.79,0.00
17,14.06,0.00
18,16.63,0.00
19,14.81,0.00
20,17.63,0.00
21,15.00,0.00
22,14.12,0.00
23,14.95,0.00
24,14.74,0.00
25,15.85,0.00
26,17.06,1.59
27,14.91,0.00
28,15.13,0.00
29,15.11,0.00
30,15.25,0.00